Material: ReC5ClO5
Method: DFT, PBE-GGA
State: relaxed

Calculated values
VASP energy ... -7.812 eV per atom
SG ... No. 62
Mass density ... 3.224 g cm⁻³

a b c (Å): 11.302 11.339 5.816
angles (deg): 90.00 90.00 90.00
Sites, in units of the cell vectors:
Re 0.126 0.250 0.055
Re 0.374 0.750 0.555
Re 0.626 0.250 0.445
Re 0.874 0.750 0.945
C 0.025 0.250 0.788
C 0.026 0.123 0.198
C 0.026 0.377 0.198
C 0.228 0.124 0.915
C 0.228 0.376 0.915
C 0.272 0.624 0.415
C 0.272 0.876 0.415
C 0.474 0.623 0.698
C 0.474 0.877 0.698
C 0.475 0.750 0.288
C 0.525 0.250 0.712
C 0.526 0.123 0.302
C 0.526 0.377 0.302
C 0.728 0.124 0.585
C 0.728 0.376 0.585
C 0.772 0.624 0.085
C 0.772 0.876 0.085
C 0.974 0.623 0.802
C 0.974 0.877 0.802
C 0.975 0.750 0.212
Cl 0.243 0.750 0.898
Cl 0.257 0.250 0.398
Cl 0.743 0.750 0.602
Cl 0.757 0.250 0.102
O 0.030 0.547 0.730
O 0.030 0.953 0.730
O 0.038 0.750 0.372
O 0.215 0.550 0.335
O 0.215 0.950 0.335
O 0.285 0.050 0.835
O 0.285 0.450 0.835
O 0.462 0.250 0.872
O 0.470 0.047 0.230
O 0.470 0.453 0.230
O 0.530 0.547 0.770
O 0.530 0.953 0.770
O 0.538 0.750 0.128
O 0.715 0.550 0.165
O 0.715 0.950 0.165
O 0.785 0.050 0.665
O 0.785 0.450 0.665
O 0.962 0.250 0.628
O 0.970 0.047 0.270
O 0.970 0.453 0.270

=====

Material: TcC5ClO5
Method: DFT, PBE-GGA
State: relaxed

Calculated values
VASP energy ... -7.647 eV per atom
SG ... No. 62
Mass density ... 2.420 g cm⁻³

a b c (Å): 11.317 11.410 5.813
angles (deg): 90.00 90.00 90.00
Sites, in units of the cell vectors:
Tc 0.125 0.250 0.053
Tc 0.375 0.750 0.553
Tc 0.625 0.250 0.447
Tc 0.875 0.750 0.947
C 0.025 0.250 0.788
C 0.026 0.124 0.196
C 0.026 0.376 0.196
C 0.227 0.125 0.914
C 0.227 0.375 0.914
C 0.273 0.625 0.414
C 0.273 0.875 0.414
C 0.474 0.624 0.696
C 0.474 0.876 0.696
C 0.475 0.750 0.288
C 0.525 0.250 0.712
C 0.526 0.124 0.304
C 0.526 0.376 0.304
C 0.727 0.125 0.586
C 0.727 0.375 0.586
C 0.773 0.625 0.086
C 0.773 0.875 0.086
C 0.974 0.624 0.804
C 0.974 0.876 0.804
C 0.975 0.750 0.212
Cl 0.244 0.750 0.898
Cl 0.256 0.250 0.398
Cl 0.744 0.750 0.602
Cl 0.756 0.250 0.102
O 0.029 0.548 0.731
O 0.029 0.952 0.731
O 0.037 0.750 0.372
O 0.216 0.552 0.335
O 0.216 0.948 0.335
O 0.284 0.052 0.835
O 0.284 0.448 0.835
O 0.463 0.250 0.872
O 0.471 0.048 0.231
O 0.471 0.452 0.231
O 0.529 0.548 0.769
O 0.529 0.952 0.769
O 0.537 0.750 0.128
O 0.716 0.552 0.165
O 0.716 0.948 0.165
O 0.784 0.052 0.665
O 0.784 0.448 0.665
O 0.963 0.250 0.628
O 0.971 0.048 0.269
O 0.971 0.452 0.269

=====

Material: Pm4CCl5
Method: DFT, PBE-GGA
State: relaxed

Calculated values
VASP energy ... -5.449 eV per atom
SG ... No. 12
Mass density ... 4.849 g cm⁻³

a b c (Å): 8.994 8.994 8.046
angles (deg): 103.99 103.99 24.69
Sites, in units of the cell vectors:
Pm 0.001 0.001 0.287
Pm 0.354 0.354 0.415
Pm 0.646 0.646 0.585
Pm 0.999 0.999 0.713
C 0.500 0.500 0.500
Cl 0.164 0.164 0.842
Cl 0.170 0.170 0.342
Cl 0.500 0.500 0.000
Cl 0.830 0.830 0.658
Cl 0.836 0.836 0.158

=====

Material: Pm2CCl
Method: DFT, PBE-GGA
State: relaxed

Calculated values
VASP energy ... -6.191 eV per atom
SG ... No. 166
Mass density ... 6.514 g cm⁻³

a b c (Å): 7.375 7.375 7.375
angles (deg): 29.49 29.49 29.49
Sites, in units of the cell vectors:
Pm 0.231 0.231 0.231
Pm 0.769 0.769 0.769
C 0.500 0.500 0.500
Cl 0.000 0.000 0.000

=====

Material: Pr3CCl5
Method: DFT, PBE-GGA
State: relaxed

Calculated values
VASP energy ... -5.466 eV per atom
SG ... No. 15
Mass density ... 4.131 g cm⁻³

a b c (Å): 8.315 8.315 15.985
angles (deg): 96.23 96.23 63.87
Sites, in units of the cell vectors:
Pr 0.043 0.214 0.438
Pr 0.156 0.410 0.798
Pr 0.211 0.504 0.046
Pr 0.214 0.043 0.938
Pr 0.410 0.156 0.298
Pr 0.496 0.789 0.454
Pr 0.504 0.211 0.546
Pr 0.590 0.844 0.702
Pr 0.786 0.957 0.062
Pr 0.789 0.496 0.954
Pr 0.844 0.590 0.202
Pr 0.957 0.786 0.562
C 0.109 0.349 0.930
C 0.349 0.109 0.430
C 0.651 0.891 0.570
C 0.891 0.651 0.070
Cl 0.037 0.221 0.258
Cl 0.118 0.847 0.420
Cl 0.124 0.402 0.593
Cl 0.153 0.882 0.080
Cl 0.218 0.511 0.235
Cl 0.221 0.037 0.758
Cl 0.347 0.595 0.901
Cl 0.402 0.124 0.093
Cl 0.405 0.653 0.599
Cl 0.489 0.782 0.265
Cl 0.511 0.218 0.735
Cl 0.595 0.347 0.401
Cl 0.598 0.876 0.907
Cl 0.653 0.405 0.099
Cl 0.779 0.963 0.242
Cl 0.782 0.489 0.765
Cl 0.847 0.118 0.920
Cl 0.876 0.598 0.407
Cl 0.882 0.153 0.580
Cl 0.963 0.779 0.742

=====

Material: Pr2Sm2C2Cl5
Method: DFT, PBE-GGA
State: relaxed

Calculated values
VASP energy ... -5.841 eV per atom
SG ... No. 12
Mass density ... 4.604 g cm⁻³

a b c (Å): 9.615 9.615 7.961
angles (deg): 103.80 103.80 23.33
Sites, in units of the cell vectors:
Pr 0.000 0.000 0.211
Pr 0.000 0.000 0.789
Sm 0.340 0.340 0.897
Sm 0.660 0.660 0.103
C 0.462 0.462 0.977
C 0.538 0.538 0.023
Cl 0.162 0.162 0.353
Cl 0.171 0.171 0.849
Cl 0.500 0.500 0.500
Cl 0.829 0.829 0.151
Cl 0.838 0.838 0.647

=====

Material: Pr2Y2CCl5
Method: DFT, PBE-GGA
State: relaxed

Calculated values
Offset from the most stable computed form ... 5 meV per atom
SG ... No. 12
Mass density ... 4.283 g cm⁻³

a b c (Å): 8.965 8.965 7.865
angles (deg): 104.51 104.51 24.31
Sites, in units of the cell vectors:
Pr 0.150 0.150 0.088
Pr 0.850 0.850 0.912
Y 0.500 0.500 0.211
Y 0.500 0.500 0.789
C 0.000 0.000 0.000
Cl 0.000 0.000 0.500
Cl 0.336 0.336 0.181
Cl 0.342 0.342 0.638
Cl 0.658 0.658 0.362
Cl 0.664 0.664 0.819

=====

Material: Pr2Y2CCl5
Method: DFT, PBE-GGA
State: relaxed

Calculated values
Offset from the most stable computed form ... 0 meV per atom
SG ... No. 12
Mass density ... 4.026 g cm⁻³

a b c (Å): 8.898 8.898 8.219
angles (deg): 103.18 103.18 25.02
Sites, in units of the cell vectors:
Pr 0.001 0.001 0.285
Pr 0.999 0.999 0.715
Y 0.357 0.357 0.425
Y 0.643 0.643 0.575
C 0.500 0.500 0.500
Cl 0.170 0.170 0.816
Cl 0.175 0.175 0.357
Cl 0.500 0.500 0.000
Cl 0.825 0.825 0.643
Cl 0.830 0.830 0.184

=====

Copy entry 2 word for word.
Material: TcC5ClO5
Method: DFT, PBE-GGA
State: relaxed

Calculated values
VASP energy ... -7.647 eV per atom
SG ... No. 62
Mass density ... 2.420 g cm⁻³

a b c (Å): 11.317 11.410 5.813
angles (deg): 90.00 90.00 90.00
Sites, in units of the cell vectors:
Tc 0.125 0.250 0.053
Tc 0.375 0.750 0.553
Tc 0.625 0.250 0.447
Tc 0.875 0.750 0.947
C 0.025 0.250 0.788
C 0.026 0.124 0.196
C 0.026 0.376 0.196
C 0.227 0.125 0.914
C 0.227 0.375 0.914
C 0.273 0.625 0.414
C 0.273 0.875 0.414
C 0.474 0.624 0.696
C 0.474 0.876 0.696
C 0.475 0.750 0.288
C 0.525 0.250 0.712
C 0.526 0.124 0.304
C 0.526 0.376 0.304
C 0.727 0.125 0.586
C 0.727 0.375 0.586
C 0.773 0.625 0.086
C 0.773 0.875 0.086
C 0.974 0.624 0.804
C 0.974 0.876 0.804
C 0.975 0.750 0.212
Cl 0.244 0.750 0.898
Cl 0.256 0.250 0.398
Cl 0.744 0.750 0.602
Cl 0.756 0.250 0.102
O 0.029 0.548 0.731
O 0.029 0.952 0.731
O 0.037 0.750 0.372
O 0.216 0.552 0.335
O 0.216 0.948 0.335
O 0.284 0.052 0.835
O 0.284 0.448 0.835
O 0.463 0.250 0.872
O 0.471 0.048 0.231
O 0.471 0.452 0.231
O 0.529 0.548 0.769
O 0.529 0.952 0.769
O 0.537 0.750 0.128
O 0.716 0.552 0.165
O 0.716 0.948 0.165
O 0.784 0.052 0.665
O 0.784 0.448 0.665
O 0.963 0.250 0.628
O 0.971 0.048 0.269
O 0.971 0.452 0.269

=====

- Among the records above, which one has the lowest mass density?
  TcC5ClO5

=====

- What is the formula in the seventh record?
  Pr2Y2CCl5